Entry from the Alexandria database: a PBEsol-optimized structure of Os2RuPb (SCAN). Values from VASP.

**Space group**: P4/mmm, No. 123
**Energy of formation**: 1.077 eV/atom
**Spin magnetization**: 0.0 μB per cell
**Theoretical density**: 18.090 g/cm³

The structure in Quantum ESPRESSO input format:
```
&SYSTEM
  ibrav = 0, nat = 4, ntyp = 3
/
ATOMIC_SPECIES
Os 190.23 Os.upf
Ru 101.07 Ru.upf
Pb 207.20 Pb.upf
CELL_PARAMETERS angstrom
3.8050 0.0000 0.0000
0.0000 3.8050 0.0000
0.0000 0.0000 4.3666
ATOMIC_POSITIONS angstrom
Os 0.0000 1.9025 0.0000
Os 1.9025 0.0000 0.0000
Ru 0.0000 0.0000 2.1833
Pb 1.9025 1.9025 2.1833
```